The following is a DFT calculation (PBE) of a relaxed YLuBePt crystal.

Structure (CIF):
```
data_YLuBePt
_chemical_formula_sum 'Y1 Lu1 Be1 Pt1'
_space_group_name_H-M_alt 'P 1'
_space_group_IT_number 1
_cell_length_a 4.852
_cell_length_b 4.852
_cell_length_c 4.852
_cell_angle_alpha 60.00
_cell_angle_beta 60.00
_cell_angle_gamma 60.00
loop_
_space_group_symop_operation_xyz
'x,y,z'
loop_
_atom_site_label
_atom_site_fract_x
_atom_site_fract_y
_atom_site_fract_z
Y1 0.000 0.000 0.000
Lu1 0.500 0.500 0.500
Be1 0.250 0.250 0.250
Pt1 0.750 0.750 0.750
```

Its energy above the most stable polymorph in this dataset is 0.0 meV per atom. The total energy is -5.782 eV per atom.

=====

The following is a DFT calculation (PBE) of a relaxed YLuBePt crystal.

Structure (CIF):
```
data_YLuBePt
_chemical_formula_sum 'Y1 Lu1 Be1 Pt1'
_space_group_name_H-M_alt 'P 1'
_space_group_IT_number 1
_cell_length_a 4.699
_cell_length_b 4.699
_cell_length_c 4.699
_cell_angle_alpha 60.00
_cell_angle_beta 60.00
_cell_angle_gamma 60.00
loop_
_space_group_symop_operation_xyz
'x,y,z'
loop_
_atom_site_label
_atom_site_fract_x
_atom_site_fract_y
_atom_site_fract_z
Y1 0.000 0.000 0.000
Lu1 0.750 0.750 0.750
Be1 0.250 0.250 0.250
Pt1 0.500 0.500 0.500
```

Its energy above the most stable polymorph in this dataset is 215.1 meV per atom. The total energy is -5.567 eV per atom.

=====

The following is a DFT calculation (PBE) of a relaxed RbLuBeS3 crystal.

Structure (CIF):
```
data_RbLuBeS3
_chemical_formula_sum 'Rb2 Lu2 Be2 S6'
_space_group_name_H-M_alt 'P 1'
_space_group_IT_number 1
_cell_length_a 7.675
_cell_length_b 7.675
_cell_length_c 10.237
_cell_angle_alpha 90.00
_cell_angle_beta 90.00
_cell_angle_gamma 151.26
loop_
_space_group_symop_operation_xyz
'x,y,z'
loop_
_atom_site_label
_atom_site_fract_x
_atom_site_fract_y
_atom_site_fract_z
Rb1 0.241 0.759 0.750
Rb2 0.759 0.241 0.250
Lu1 0.500 0.500 0.000
Lu2 0.500 0.500 0.500
Be1 0.038 0.962 0.250
Be2 0.962 0.038 0.750
S1 0.113 0.887 0.077
S2 0.113 0.887 0.423
S3 0.450 0.550 0.250
S4 0.550 0.450 0.750
S5 0.887 0.113 0.577
S6 0.887 0.113 0.923
```

The total energy is -5.179 eV per atom.

=====

The following is a DFT calculation (PBE) of a relaxed RbLuBeSe3 crystal.

Structure (CIF):
```
data_RbLuBeSe3
_chemical_formula_sum 'Rb2 Lu2 Be2 Se6'
_space_group_name_H-M_alt 'P 1'
_space_group_IT_number 1
_cell_length_a 7.993
_cell_length_b 7.993
_cell_length_c 10.678
_cell_angle_alpha 90.00
_cell_angle_beta 90.00
_cell_angle_gamma 151.22
loop_
_space_group_symop_operation_xyz
'x,y,z'
loop_
_atom_site_label
_atom_site_fract_x
_atom_site_fract_y
_atom_site_fract_z
Rb1 0.243 0.757 0.750
Rb2 0.757 0.243 0.250
Lu1 0.500 0.500 0.000
Lu2 0.500 0.500 0.500
Be1 0.037 0.963 0.250
Be2 0.963 0.037 0.750
Se1 0.116 0.884 0.075
Se2 0.116 0.884 0.425
Se3 0.446 0.554 0.250
Se4 0.554 0.446 0.750
Se5 0.884 0.116 0.575
Se6 0.884 0.116 0.925
```

The total energy is -4.685 eV per atom.

=====

The following is a DFT calculation (PBE) of a relaxed LuBeRe crystal.

Structure (CIF):
```
data_LuBeRe
_chemical_formula_sum 'Lu1 Be1 Re1'
_space_group_name_H-M_alt 'P 1'
_space_group_IT_number 1
_cell_length_a 4.341
_cell_length_b 4.341
_cell_length_c 4.341
_cell_angle_alpha 60.00
_cell_angle_beta 60.00
_cell_angle_gamma 60.00
loop_
_space_group_symop_operation_xyz
'x,y,z'
loop_
_atom_site_label
_atom_site_fract_x
_atom_site_fract_y
_atom_site_fract_z
Lu1 0.000 0.000 0.000
Be1 0.500 0.500 0.500
Re1 0.750 0.750 0.750
```

Its energy above the most stable polymorph in this dataset is 0.0 meV per atom. The total energy is -5.929 eV per atom.

=====

The following is a DFT calculation (PBE) of a relaxed LuBe2Re crystal.

Structure (CIF):
```
data_LuBe2Re
_chemical_formula_sum 'Lu1 Be2 Re1'
_space_group_name_H-M_alt 'P 1'
_space_group_IT_number 1
_cell_length_a 4.369
_cell_length_b 4.369
_cell_length_c 4.369
_cell_angle_alpha 60.00
_cell_angle_beta 60.00
_cell_angle_gamma 60.00
loop_
_space_group_symop_operation_xyz
'x,y,z'
loop_
_atom_site_label
_atom_site_fract_x
_atom_site_fract_y
_atom_site_fract_z
Lu1 0.000 0.000 0.000
Be1 0.250 0.250 0.250
Be2 0.500 0.500 0.500
Re1 0.750 0.750 0.750
```

The total energy is -5.549 eV per atom.

=====

The following is a DFT calculation (PBE) of a relaxed LuBeRe crystal.

Structure (CIF):
```
data_LuBeRe
_chemical_formula_sum 'Lu1 Be1 Re1'
_space_group_name_H-M_alt 'P 1'
_space_group_IT_number 1
_cell_length_a 4.472
_cell_length_b 4.472
_cell_length_c 4.472
_cell_angle_alpha 60.00
_cell_angle_beta 60.00
_cell_angle_gamma 60.00
loop_
_space_group_symop_operation_xyz
'x,y,z'
loop_
_atom_site_label
_atom_site_fract_x
_atom_site_fract_y
_atom_site_fract_z
Lu1 0.000 0.000 0.000
Be1 0.750 0.750 0.750
Re1 0.250 0.250 0.250
```

Its energy above the most stable polymorph in this dataset is 604.3 meV per atom. The total energy is -5.324 eV per atom.

=====

The following is a DFT calculation (PBE) of a relaxed LuBeReW crystal.

Structure (CIF):
```
data_LuBeReW
_chemical_formula_sum 'Lu1 Be1 Re1 W1'
_space_group_name_H-M_alt 'P 1'
_space_group_IT_number 1
_cell_length_a 4.459
_cell_length_b 4.459
_cell_length_c 4.459
_cell_angle_alpha 60.00
_cell_angle_beta 60.00
_cell_angle_gamma 60.00
loop_
_space_group_symop_operation_xyz
'x,y,z'
loop_
_atom_site_label
_atom_site_fract_x
_atom_site_fract_y
_atom_site_fract_z
Lu1 0.000 0.000 0.000
Be1 0.500 0.500 0.500
Re1 0.750 0.750 0.750
W1 0.250 0.250 0.250
```

Its energy above the most stable polymorph in this dataset is 631.8 meV per atom. The total energy is -7.610 eV per atom.

=====

The following is a DFT calculation (PBE) of a relaxed LuBeReW crystal.

Structure (CIF):
```
data_LuBeReW
_chemical_formula_sum 'Lu1 Be1 Re1 W1'
_space_group_name_H-M_alt 'P 1'
_space_group_IT_number 1
_cell_length_a 4.475
_cell_length_b 4.475
_cell_length_c 4.475
_cell_angle_alpha 60.00
_cell_angle_beta 60.00
_cell_angle_gamma 60.00
loop_
_space_group_symop_operation_xyz
'x,y,z'
loop_
_atom_site_label
_atom_site_fract_x
_atom_site_fract_y
_atom_site_fract_z
Lu1 0.000 0.000 0.000
Be1 0.250 0.250 0.250
Re1 0.500 0.500 0.500
W1 0.750 0.750 0.750
```

Its energy above the most stable polymorph in this dataset is 7.5 meV per atom. The total energy is -8.234 eV per atom.

=====

The following is a DFT calculation (PBE) of a relaxed LuBeReW crystal.

Structure (CIF):
```
data_LuBeReW
_chemical_formula_sum 'Lu1 Be1 Re1 W1'
_space_group_name_H-M_alt 'P 1'
_space_group_IT_number 1
_cell_length_a 4.497
_cell_length_b 4.497
_cell_length_c 4.497
_cell_angle_alpha 60.00
_cell_angle_beta 60.00
_cell_angle_gamma 60.00
loop_
_space_group_symop_operation_xyz
'x,y,z'
loop_
_atom_site_label
_atom_site_fract_x
_atom_site_fract_y
_atom_site_fract_z
Lu1 0.000 0.000 0.000
Be1 0.750 0.750 0.750
Re1 0.250 0.250 0.250
W1 0.500 0.500 0.500
```

Its energy above the most stable polymorph in this dataset is 0.0 meV per atom. The total energy is -8.241 eV per atom.

=====

The following is a DFT calculation (PBE) of a relaxed LuBe2Sb crystal.

Structure (CIF):
```
data_LuBe2Sb
_chemical_formula_sum 'Lu1 Be2 Sb1'
_space_group_name_H-M_alt 'P 1'
_space_group_IT_number 1
_cell_length_a 4.730
_cell_length_b 4.730
_cell_length_c 4.730
_cell_angle_alpha 60.00
_cell_angle_beta 60.00
_cell_angle_gamma 60.00
loop_
_space_group_symop_operation_xyz
'x,y,z'
loop_
_atom_site_label
_atom_site_fract_x
_atom_site_fract_y
_atom_site_fract_z
Lu1 0.000 0.000 0.000
Be1 0.250 0.250 0.250
Be2 0.500 0.500 0.500
Sb1 0.750 0.750 0.750
```

The total energy is -3.575 eV per atom.

=====

The following is a DFT calculation (PBE) of a relaxed Lu2BeSb crystal.

Structure (CIF):
```
data_Lu2BeSb
_chemical_formula_sum 'Lu2 Be1 Sb1'
_space_group_name_H-M_alt 'P 1'
_space_group_IT_number 1
_cell_length_a 5.043
_cell_length_b 5.043
_cell_length_c 5.043
_cell_angle_alpha 60.00
_cell_angle_beta 60.00
_cell_angle_gamma 60.00
loop_
_space_group_symop_operation_xyz
'x,y,z'
loop_
_atom_site_label
_atom_site_fract_x
_atom_site_fract_y
_atom_site_fract_z
Lu1 0.000 0.000 0.000
Lu2 0.250 0.250 0.250
Be1 0.750 0.750 0.750
Sb1 0.500 0.500 0.500
```

The total energy is -3.924 eV per atom.

=====

The following is a DFT calculation (PBE) of a relaxed LuSc2Be crystal.

Structure (CIF):
```
data_LuSc2Be
_chemical_formula_sum 'Lu1 Sc2 Be1'
_space_group_name_H-M_alt 'P 1'
_space_group_IT_number 1
_cell_length_a 4.931
_cell_length_b 4.931
_cell_length_c 4.931
_cell_angle_alpha 60.00
_cell_angle_beta 60.00
_cell_angle_gamma 60.00
loop_
_space_group_symop_operation_xyz
'x,y,z'
loop_
_atom_site_label
_atom_site_fract_x
_atom_site_fract_y
_atom_site_fract_z
Lu1 0.000 0.000 0.000
Sc1 0.250 0.250 0.250
Sc2 0.500 0.500 0.500
Be1 0.750 0.750 0.750
```

The total energy is -4.979 eV per atom.

=====

The following is a DFT calculation (PBE) of a relaxed LuBeTlSe3 crystal.

Structure (CIF):
```
data_LuBeTlSe3
_chemical_formula_sum 'Lu2 Be2 Tl2 Se6'
_space_group_name_H-M_alt 'P 1'
_space_group_IT_number 1
_cell_length_a 7.739
_cell_length_b 7.739
_cell_length_c 10.649
_cell_angle_alpha 90.00
_cell_angle_beta 90.00
_cell_angle_gamma 150.58
loop_
_space_group_symop_operation_xyz
'x,y,z'
loop_
_atom_site_label
_atom_site_fract_x
_atom_site_fract_y
_atom_site_fract_z
Lu1 0.000 0.000 0.000
Lu2 0.000 0.000 0.500
Be1 0.464 0.536 0.750
Be2 0.536 0.464 0.250
Tl1 0.252 0.748 0.250
Tl2 0.748 0.252 0.750
Se1 0.057 0.943 0.750
Se2 0.379 0.621 0.576
Se3 0.379 0.621 0.924
Se4 0.621 0.379 0.076
Se5 0.621 0.379 0.424
Se6 0.943 0.057 0.250
```

The total energy is -4.652 eV per atom.

=====

The following is a DFT calculation (PBE) of a relaxed Lu2BeSi crystal.

Structure (CIF):
```
data_Lu2BeSi
_chemical_formula_sum 'Lu2 Be1 Si1'
_space_group_name_H-M_alt 'P 1'
_space_group_IT_number 1
_cell_length_a 4.786
_cell_length_b 4.786
_cell_length_c 4.786
_cell_angle_alpha 60.00
_cell_angle_beta 60.00
_cell_angle_gamma 60.00
loop_
_space_group_symop_operation_xyz
'x,y,z'
loop_
_atom_site_label
_atom_site_fract_x
_atom_site_fract_y
_atom_site_fract_z
Lu1 0.000 0.000 0.000
Lu2 0.250 0.250 0.250
Be1 0.750 0.750 0.750
Si1 0.500 0.500 0.500
```

The total energy is -4.145 eV per atom.